[1]
VASP calculation (PBE-GGA) on an optimized crystal structure of MgGaI5.

## Properties
Space group: C2/c (15)
Uncorrected formation energy, kJ/mol of formula units: -437.2

Lattice parameters (Å, degrees): 7.9842 7.9842 10.8316 109.52 109.52 90.58
Closest atoms and distances in Å follow each position.
Fractional positions:
Mg (0.0000, 0.0000, 0.0000)  6 I 2.87-3.01
Mg (0.0000, 0.0000, 0.5000)  6 I 2.87-3.01
Ga (0.3773, 0.6227, 0.7500)  4 I 2.60-2.62
Ga (0.6227, 0.3773, 0.2500)  4 I 2.60-2.62
I (0.0825, 0.9175, 0.2500)  2 Mg 2.87
I (0.2522, 0.7282, 0.5384)  1 Ga 2.60
I (0.2707, 0.3346, 0.1554)  1 Ga 2.62
I (0.2718, 0.7478, 0.9616)  1 Ga 2.60
I (0.3346, 0.2707, 0.6554)  1 Ga 2.62
I (0.6654, 0.7293, 0.3446)  1 Ga 2.62
I (0.7282, 0.2522, 0.0384)  1 Ga 2.60
I (0.7293, 0.6654, 0.8446)  1 Ga 2.62
I (0.7478, 0.2718, 0.4616)  1 Ga 2.60
I (0.9175, 0.0825, 0.7500)  2 Mg 2.87

---

[2]
VASP calculation (PBE-GGA) on an optimized crystal structure of TaTl2Sb.

## Properties
Space group: I4/mmm (139)
Excess energy over the best structure of this formula in the dataset, eV/atom: 0.382
Uncorrected formation energy, kJ/mol of formula units: 247.1
DOS(E_F), states/eV per cell: 3.43

Lattice parameters (Å, degrees): 6.1769 6.1769 6.1769 139.70 139.70 58.31
Closest atoms and distances in Å follow each position.
Fractional positions:
Ta (0.0000, 0.0000, 0.0000)  4 Sb 3.01
Tl (0.2500, 0.7500, 0.5000)  4 Tl 3.01
Tl (0.7500, 0.2500, 0.5000)  4 Tl 3.01
Sb (0.5000, 0.5000, 0.0000)  4 Ta 3.01

---

[3]
VASP calculation (PBE-GGA) on an optimized crystal structure of TbPrRhCl.

## Properties
Space group: R3m (160)
Uncorrected formation energy, kJ/mol of formula units: -446.0
DOS(E_F), states/eV per cell: 0.56

Lattice parameters (Å, degrees): 8.0167 8.0167 8.0167 29.00 29.00 29.00
Closest atoms and distances in Å follow each position.
Fractional positions:
Tb (0.0000, 0.0000, 0.0000)  3 Rh 2.74
Pr (0.8011, 0.8011, 0.8011)  3 Rh 2.83
Rh (0.3972, 0.3972, 0.3972)  3 Tb 2.74, 3 Pr 2.83
Cl (0.5718, 0.5718, 0.5718)  3 Tb 3.19, 3 Pr 3.33

---

[4]
VASP calculation (PBE-GGA) on an optimized crystal structure of K2TiAlO4.

## Properties
Space group: Fddd (70)
Uncorrected formation energy, kJ/mol of formula units: -1718.0
DOS(E_F), states/eV per cell: 3.43

Lattice parameters (Å, degrees): 11.7978 10.3968 6.6949 84.34 61.28 34.38
Closest atoms and distances in Å follow each position.
Fractional positions:
K (0.0563, 0.0563, 0.6937)  2 O 2.92
K (0.3063, 0.3063, 0.9437)  2 O 2.92
K (0.6937, 0.6937, 0.0563)  2 O 2.92
K (0.9437, 0.9437, 0.3063)  2 O 2.92
Ti (0.1250, 0.1250, 0.1250)  4 O 1.90
Ti (0.8750, 0.8750, 0.8750)  4 O 1.90
Al (0.3750, 0.3750, 0.3750)  4 O 1.81
Al (0.6250, 0.6250, 0.6250)  4 O 1.81
O (0.0125, 0.6635, 0.5619)  1 Al 1.81, 1 Ti 1.90
O (0.2620, 0.5619, 0.6635)  1 Al 1.81, 1 Ti 1.90
O (0.3365, 0.9875, 0.7380)  1 Al 1.81, 1 Ti 1.90
O (0.4381, 0.7380, 0.9875)  1 Al 1.81, 1 Ti 1.90
O (0.5619, 0.2620, 0.0125)  1 Al 1.81, 1 Ti 1.90
O (0.6635, 0.0125, 0.2620)  1 Al 1.81, 1 Ti 1.90
O (0.7380, 0.4381, 0.3365)  1 Al 1.81, 1 Ti 1.90
O (0.9875, 0.3365, 0.4381)  1 Al 1.81, 1 Ti 1.90

---

[5]
VASP calculation (PBE-GGA) on an optimized crystal structure of Ca2Se.

## Properties
Space group: Cmcm (63)
Uncorrected formation energy, kJ/mol of formula units: -353.5
DOS(E_F), states/eV per cell: 2.68

Lattice parameters (Å, degrees): 8.2440 8.2440 6.0425 90.00 90.00 151.13
Closest atoms and distances in Å follow each position.
Fractional positions:
Ca (0.0641, 0.9359, 0.7500)  2 Se 2.91
Ca (0.3265, 0.6735, 0.7500)  4 Se 2.96-3.04
Ca (0.6735, 0.3265, 0.2500)  4 Se 2.96-3.04
Ca (0.9359, 0.0641, 0.2500)  2 Se 2.91
Se (0.3069, 0.6931, 0.2500)  6 Ca 2.91-3.04
Se (0.6931, 0.3069, 0.7500)  6 Ca 2.91-3.04

---

[6]
VASP calculation (PBE-GGA) on an optimized crystal structure of AcLuO3.

## Properties
Space group: Pm-3m (221)
Uncorrected formation energy, kJ/mol of formula units: -1605.8
DOS(E_F), states/eV per cell: 0.00

Lattice parameters (Å, degrees): 4.2638 4.2638 4.2638 90.00 90.00 90.00
Closest atoms and distances in Å follow each position.
Fractional positions:
Ac (0.0000, 0.0000, 0.0000)  12 O 3.01
Lu (0.5000, 0.5000, 0.5000)  6 O 2.13
O (0.0000, 0.5000, 0.5000)  2 Lu 2.13
O (0.5000, 0.0000, 0.5000)  2 Lu 2.13
O (0.5000, 0.5000, 0.0000)  2 Lu 2.13

---

[7]
VASP calculation (PBE-GGA) on an optimized crystal structure of CaSm2Ge3Pt4.

## Properties
Space group: P-4m2 (115)
DOS(E_F), states/eV per cell: 4.75
Calculated formation energy, meV/atom: -886

Lattice parameters (Å, degrees): 4.2967 4.2967 11.1240 90.00 90.00 90.00
Closest atoms and distances in Å follow each position.
Fractional positions:
Ca (0.0000, 0.0000, 0.0000)  4 Pt 2.78, 4 Ge 3.04
Sm (0.0000, 0.5000, 0.7243)  4 Ge 3.24, 8 Pt 3.29-3.30
Sm (0.5000, 0.0000, 0.2757)  4 Ge 3.24, 8 Pt 3.29-3.30
Ge (0.0000, 0.5000, 0.3775)  5 Pt 2.43-2.54
Ge (0.5000, 0.0000, 0.6225)  5 Pt 2.43-2.54
Ge (0.5000, 0.5000, 0.0000)  4 Pt 2.78, 4 Ca 3.04
Pt (0.0000, 0.0000, 0.5000)  4 Ge 2.54
Pt (0.0000, 0.5000, 0.1588)  1 Ge 2.43
Pt (0.5000, 0.0000, 0.8412)  1 Ge 2.43
Pt (0.5000, 0.5000, 0.5000)  4 Ge 2.54

---

[8]
VASP calculation (PBE-GGA) on an optimized crystal structure of PaGaCo.

## Properties
Space group: F-43m (216)
DOS(E_F), states/eV per cell: 4.31
Calculated formation energy, meV/atom: -361

Lattice parameters (Å, degrees): 4.3469 4.3469 4.3469 60.00 60.00 60.00
Closest atoms and distances in Å follow each position.
Fractional positions:
Pa (0.0000, 0.0000, 0.0000)  4 Co 2.66
Ga (0.5000, 0.5000, 0.5000)  4 Co 2.66
Co (0.2500, 0.2500, 0.2500)  4 Pa 2.66, 4 Ga 2.66

---

[9]
VASP calculation (PBE-GGA) on an optimized crystal structure of B2C.

## Properties
Space group: C2/m (12)
Excess energy over the best structure of this formula in the dataset, eV/atom: 0.321
DOS(E_F), states/eV per cell: 1.11
Calculated formation energy, meV/atom: 506

Lattice parameters (Å, degrees): 4.9941 4.9941 7.7518 115.71 115.71 30.56
Closest atoms and distances in Å follow each position.
Fractional positions:
B (0.0830, 0.0830, 0.2447)  4 B 1.71-1.72
B (0.0845, 0.0845, 0.7278)  3 C 1.67-1.72, 1 B 1.72
B (0.2706, 0.2706, 0.4211)  1 C 1.55, 1 B 1.71
B (0.3410, 0.3410, 0.8275)  1 C 1.56, 2 B 1.72
B (0.6590, 0.6590, 0.1725)  1 C 1.56, 2 B 1.72
B (0.7294, 0.7294, 0.5789)  1 C 1.55, 1 B 1.71
B (0.9155, 0.9155, 0.2722)  3 C 1.67-1.72, 1 B 1.72
B (0.9170, 0.9170, 0.7553)  4 B 1.71-1.72
C (0.2469, 0.2469, 0.9470)  2 C 1.54, 2 B 1.56-1.72
C (0.4273, 0.4273, 0.4103)  1 C 1.46, 1 B 1.55
C (0.5727, 0.5727, 0.5897)  1 C 1.46, 1 B 1.55
C (0.7531, 0.7531, 0.0530)  2 C 1.54, 2 B 1.56-1.72

---

[10]
VASP calculation (PBE-GGA) on an optimized crystal structure of Al2Fe2Hg.

## Properties
Space group: P4/mbm (127)
Excess energy over the best structure of this formula in the dataset, eV/atom: 0.000
DOS(E_F), states/eV per cell: 9.00
Calculated formation energy, meV/atom: 14

Lattice parameters (Å, degrees): 7.1541 7.1541 2.8705 90.00 90.00 90.00
Closest atoms and distances in Å follow each position.
Fractional positions:
Al (0.1733, 0.3267, 0.0000)  6 Fe 2.56
Al (0.3267, 0.8267, 0.0000)  6 Fe 2.56
Al (0.6733, 0.1733, 0.0000)  6 Fe 2.56
Al (0.8267, 0.6733, 0.0000)  6 Fe 2.56
Fe (0.1173, 0.6173, 0.5000)  1 Fe 2.37, 6 Al 2.56
Fe (0.3827, 0.1173, 0.5000)  1 Fe 2.37, 6 Al 2.56
Fe (0.6173, 0.8827, 0.5000)  1 Fe 2.37, 6 Al 2.56
Fe (0.8827, 0.3827, 0.5000)  1 Fe 2.37, 6 Al 2.56
Hg (0.0000, 0.0000, 0.5000)  4 Fe 2.86, 2 Hg 2.87, 8 Al 3.01
Hg (0.5000, 0.5000, 0.5000)  4 Fe 2.86, 2 Hg 2.87, 8 Al 3.01

---

[11]
VASP calculation (PBE-GGA) on an optimized crystal structure of CaB3Sb.

## Properties
Space group: Pm-3m (221)
Excess energy over the best structure of this formula in the dataset, eV/atom: 0.887
Uncorrected formation energy, kJ/mol of formula units: 1181.6
DOS(E_F), states/eV per cell: 5.67

Lattice parameters (Å, degrees): 4.7058 4.7058 4.7058 90.00 90.00 90.00
Closest atoms and distances in Å follow each position.
Fractional positions:
Ca (0.0000, 0.0000, 0.0000)  6 B 2.35
B (0.0000, 0.0000, 0.5000)  2 Ca 2.35
B (0.0000, 0.5000, 0.0000)  2 Ca 2.35
B (0.5000, 0.0000, 0.0000)  2 Ca 2.35
Sb (0.5000, 0.5000, 0.5000)  12 B 3.33

---

[12]
VASP calculation (PBE-GGA) on an optimized crystal structure of KBa3Sb2O6.

## Properties
Space group: P-3m1 (164)
Uncorrected formation energy, kJ/mol of formula units: -2255.0
DOS(E_F), states/eV per cell: 4.04

Lattice parameters (Å, degrees): 6.3453 6.3453 7.1368 90.00 90.00 120.00
Closest atoms and distances in Å follow each position.
Fractional positions:
K (0.0000, 0.0000, 0.0000)  6 O 2.52
Ba (0.0000, 0.0000, 0.5000)  6 O 2.87
Ba (0.3333, 0.6667, 0.1210)  9 O 2.90-3.25
Ba (0.6667, 0.3333, 0.8790)  9 O 2.90-3.25
Sb (0.3333, 0.6667, 0.6329)  3 O 1.98
Sb (0.6667, 0.3333, 0.3671)  3 O 1.98
O (0.1830, 0.3659, 0.7867)  1 Sb 1.98
O (0.1830, 0.8170, 0.7867)  1 Sb 1.98
O (0.3659, 0.1830, 0.2133)  1 Sb 1.98
O (0.6341, 0.8170, 0.7867)  1 Sb 1.98
O (0.8170, 0.1830, 0.2133)  1 Sb 1.98
O (0.8170, 0.6341, 0.2133)  1 Sb 1.98

---

[13]
VASP calculation (PBE-GGA) on an optimized crystal structure of Tb12Ho5Sc2.

## Properties
Space group: C2/m (12)
DOS(E_F), states/eV per cell: 29.75
Calculated formation energy, meV/atom: 120

Lattice parameters (Å, degrees): 8.9651 8.9651 8.5149 92.10 92.10 60.96
Closest atoms and distances in Å follow each position.
Fractional positions:
Tb (0.0570, 0.0570, 0.3379)  2 Ho 3.33-3.56, 7 Tb 3.34-3.56, 2 Sc 3.34
Tb (0.0656, 0.6754, 0.3184)  4 Ho 3.35-3.72, 5 Tb 3.36-3.56, 1 Sc 3.45
Tb (0.1701, 0.5344, 0.7654)  1 Sc 3.27, 4 Tb 3.31-3.59, 2 Ho 3.49-3.52
Tb (0.3246, 0.9344, 0.6816)  4 Ho 3.35-3.72, 5 Tb 3.36-3.56, 1 Sc 3.45
Tb (0.4242, 0.4242, 0.1212)  3 Tb 3.19-3.36, 2 Ho 3.38-3.47, 2 Sc 3.42
Tb (0.4656, 0.8299, 0.2346)  1 Sc 3.27, 4 Tb 3.31-3.59, 2 Ho 3.49-3.52
Tb (0.5344, 0.1701, 0.7654)  1 Sc 3.27, 4 Tb 3.31-3.59, 2 Ho 3.49-3.52
Tb (0.5758, 0.5758, 0.8788)  3 Tb 3.19-3.36, 2 Ho 3.38-3.47, 2 Sc 3.42
Tb (0.6754, 0.0656, 0.3184)  4 Ho 3.35-3.72, 5 Tb 3.36-3.56, 1 Sc 3.45
Tb (0.8299, 0.4656, 0.2346)  1 Sc 3.27, 4 Tb 3.31-3.59, 2 Ho 3.49-3.52
Tb (0.9344, 0.3246, 0.6816)  4 Ho 3.35-3.72, 5 Tb 3.36-3.56, 1 Sc 3.45
Tb (0.9430, 0.9430, 0.6621)  2 Ho 3.33-3.56, 7 Tb 3.34-3.56, 2 Sc 3.34
Ho (0.2032, 0.2032, 0.0265)  8 Tb 3.47-3.66, 2 Sc 3.49, 1 Ho 3.56
Ho (0.2685, 0.2685, 0.4322)  8 Tb 3.33-3.65, 2 Ho 3.56-3.60
Ho (0.5000, 0.5000, 0.5000)  10 Tb 3.38-3.72, 2 Ho 3.60
Ho (0.7315, 0.7315, 0.5678)  8 Tb 3.33-3.65, 2 Ho 3.56-3.60
Ho (0.7968, 0.7968, 0.9735)  8 Tb 3.47-3.66, 2 Sc 3.49, 1 Ho 3.56
Sc (0.1672, 0.8328, 0.0000)  1 Sc 3.04, 4 Tb 3.27-3.34
Sc (0.8328, 0.1672, 0.0000)  1 Sc 3.04, 4 Tb 3.27-3.34

---

[14]
VASP calculation (PBE-GGA) on an optimized crystal structure of CsScSb.

## Properties
Space group: I4/mmm (139)
Uncorrected formation energy, kJ/mol of formula units: -171.9
DOS(E_F), states/eV per cell: 4.68

Lattice parameters (Å, degrees): 14.5657 14.5657 14.5657 163.93 163.93 22.81
Closest atoms and distances in Å follow each position.
Fractional positions:
Cs (0.0862, 0.0862, 0.0000)  1 Sc 3.65, 4 Sb 4.00, 4 Cs 4.07
Cs (0.9138, 0.9138, 0.0000)  1 Sc 3.65, 4 Sb 4.00, 4 Cs 4.07
Sc (0.2139, 0.2139, 0.0000)  5 Sb 2.93-3.01
Sc (0.7861, 0.7861, 0.0000)  5 Sb 2.93-3.01
Sb (0.3167, 0.3167, 0.0000)  5 Sc 2.93-3.01
Sb (0.6833, 0.6833, 0.0000)  5 Sc 2.93-3.01

---

[15]
VASP calculation (PBE-GGA) on an optimized crystal structure of K2SnHg.

## Properties
Space group: R3m (160)
Excess energy over the best structure of this formula in the dataset, eV/atom: 0.047
DOS(E_F), states/eV per cell: 0.51
Calculated formation energy, meV/atom: -219

Lattice parameters (Å, degrees): 6.7834 6.7834 6.7834 45.51 45.51 45.51
Closest atoms and distances in Å follow each position.
Fractional positions:
K (0.0000, 0.0000, 0.0000)  3 Hg 3.61, 3 Sn 3.62, 4 K 3.72-3.91
K (0.2150, 0.2150, 0.2150)  3 Sn 3.60, 3 Hg 3.60, 4 K 3.72-3.91
Sn (0.4418, 0.4418, 0.4418)  3 Hg 3.03
Hg (0.7749, 0.7749, 0.7749)  3 Sn 3.03

---

[16]
VASP calculation (PBE-GGA) on an optimized crystal structure of Ag2PbS2.

## Properties
Space group: I4/mmm (139)
Excess energy over the best structure of this formula in the dataset, eV/atom: 0.097
Uncorrected formation energy, kJ/mol of formula units: -53.6
DOS(E_F), states/eV per cell: 0.00

Lattice parameters (Å, degrees): 7.4619 7.4619 7.4619 149.32 149.32 43.94
Closest atoms and distances in Å follow each position.
Fractional positions:
Ag (0.2500, 0.7500, 0.5000)  4 S 2.71, 4 Ag 2.79
Ag (0.7500, 0.2500, 0.5000)  4 S 2.71, 4 Ag 2.79
Pb (0.0000, 0.0000, 0.0000)  8 S 3.22
S (0.3839, 0.3839, 0.0000)  4 Ag 2.71
S (0.6161, 0.6161, 0.0000)  4 Ag 2.71

---

[17]
VASP calculation (PBE-GGA) on an optimized crystal structure of CrRu2Cl.

## Properties
Space group: Pmmm (47)
Excess energy over the best structure of this formula in the dataset, eV/atom: 0.407
Uncorrected formation energy, kJ/mol of formula units: 271.7
DOS(E_F), states/eV per cell: 4.47

Lattice parameters (Å, degrees): 2.8117 4.4505 4.6291 90.00 90.00 90.00
Closest atoms and distances in Å follow each position.
Fractional positions:
Cr (0.0000, 0.0000, 0.0000)  4 Ru 2.63, 4 Cl 2.71, 2 Cr 2.81
Ru (0.0000, 0.5000, 0.5000)  4 Cl 2.63, 6 Ru 2.71-2.81
Ru (0.5000, 0.5000, 0.0000)  4 Cr 2.63, 6 Ru 2.71-2.81
Cl (0.5000, 0.0000, 0.5000)  4 Ru 2.63, 4 Cr 2.71, 2 Cl 2.81

---

[18]
VASP calculation (PBE-GGA) on an optimized crystal structure of Li2AgAu.

## Properties
Space group: I-42d (122)
Excess energy over the best structure of this formula in the dataset, eV/atom: 0.528
DOS(E_F), states/eV per cell: 0.03
Calculated formation energy, meV/atom: 134

Lattice parameters (Å, degrees): 7.2423 7.2423 7.2423 131.33 131.33 71.29
Closest atoms and distances in Å follow each position.
Fractional positions:
Li (0.1106, 0.6250, 0.9856)  2 Au 2.52, 2 Ag 2.62
Li (0.3750, 0.3606, 0.4856)  2 Au 2.52, 2 Ag 2.62
Li (0.6394, 0.1250, 0.0144)  2 Au 2.52, 2 Ag 2.62
Li (0.8750, 0.8894, 0.5144)  2 Au 2.52, 2 Ag 2.62
Ag (0.2500, 0.7500, 0.5000)  4 Li 2.62
Ag (0.5000, 0.5000, 0.0000)  4 Li 2.62
Au (0.0000, 0.0000, 0.0000)  4 Li 2.52
Au (0.7500, 0.2500, 0.5000)  4 Li 2.52

---

[19]
VASP calculation (PBE-GGA) on an optimized crystal structure of Er12Co2Bi5.

## Properties
Space group: C2/m (12)
DOS(E_F), states/eV per cell: 15.89
Calculated formation energy, meV/atom: -347

Lattice parameters (Å, degrees): 9.6453 9.6453 9.3823 105.81 105.81 45.85
Closest atoms and distances in Å follow each position.
Fractional positions:
Er (0.0010, 0.0010, 0.1700)  2 Co 2.66
Er (0.1054, 0.5935, 0.9199)  1 Co 2.56
Er (0.1283, 0.5988, 0.4553)  4 Bi 3.07-3.14
Er (0.4012, 0.8717, 0.5447)  4 Bi 3.07-3.14
Er (0.4065, 0.8946, 0.0801)  1 Co 2.56
Er (0.4989, 0.4989, 0.7803)  2 Co 2.62
Er (0.5011, 0.5011, 0.2197)  2 Co 2.62
Er (0.5935, 0.1054, 0.9199)  1 Co 2.56
Er (0.5988, 0.1283, 0.4553)  4 Bi 3.07-3.14
Er (0.8717, 0.4012, 0.5447)  4 Bi 3.07-3.14
Er (0.8946, 0.4065, 0.0801)  1 Co 2.56
Er (0.9990, 0.9990, 0.8300)  2 Co 2.66
Co (0.2837, 0.7163, 0.0000)  6 Er 2.56-2.66
Co (0.7163, 0.2837, 0.0000)  6 Er 2.56-2.66
Bi (0.0000, 0.0000, 0.5000)  6 Er 3.07-3.10
Bi (0.2781, 0.2781, 0.6336)  6 Er 3.12-3.19
Bi (0.3034, 0.3034, 0.1672)  7 Er 3.14-3.40
Bi (0.6966, 0.6966, 0.8328)  7 Er 3.14-3.40
Bi (0.7219, 0.7219, 0.3664)  6 Er 3.12-3.19